A plane-wave DFT calculation with PBE-GGA was carried out for a geometry-optimized YFeSiW structure.

Structure (CIF):
```
data_YFeSiW
_chemical_formula_sum 'Y4 Fe4 Si4 W4'
_symmetry_space_group_name_H-M 'P 1'
_symmetry_Int_Tables_number 1
_symmetry_space_group_name_Hall 'P 1'
_cell_length_a 6.437
_cell_length_b 6.437
_cell_length_c 6.437
_cell_angle_alpha 90.00
_cell_angle_beta 90.00
_cell_angle_gamma 90.00
loop_
_atom_site_label
_atom_site_type_symbol
_atom_site_fract_x
_atom_site_fract_y
_atom_site_fract_z
Y1 Y 0.000 0.000 0.000
Y2 Y 0.000 0.500 0.500
Y3 Y 0.500 0.000 0.500
Y4 Y 0.500 0.500 0.000
Fe1 Fe 0.000 0.000 0.500
Fe2 Fe 0.000 0.500 0.000
Fe3 Fe 0.500 0.000 0.000
Fe4 Fe 0.500 0.500 0.500
Si1 Si 0.250 0.250 0.250
Si2 Si 0.250 0.750 0.750
Si3 Si 0.750 0.250 0.750
Si4 Si 0.750 0.750 0.250
W1 W 0.250 0.250 0.750
W2 W 0.250 0.750 0.250
W3 W 0.750 0.250 0.250
W4 W 0.750 0.750 0.750
```

Density (Mg/m³): 8.9
Polymorph energy (0 for the lowest one) (eV/atom): 0.137
Raw total energy (eV/atom): -7.722
Crystal system: cubic
Calculated volume (Å³/atom): 16.67